#A
Crystalline TiPS2N at its relaxed geometry. Source: the Alexandria database, functional GGA-PBE.

Lattice parameters (Å, degrees): 4.641 4.641 4.885 90.00 90.00 90.00
Each line ends with the local moment (μB).
Fractional positions:
Ti 0.000 0.000 0.000  0.11
S 0.000 0.500 0.000  -0.04
S 0.500 0.000 0.000  -0.04
N 0.500 0.500 0.500  1.77
P 0.000 0.000 0.500  -0.40

Computed properties:
Space-group type: P4/mmm
Crystal system: tetragonal
D(E_F) in states/eV/cell: 2.3



#B
Crystalline TiPS2N at its relaxed geometry. Source: the Alexandria database, functional GGA-PBE.

Lattice parameters (Å, degrees): 4.834 4.834 3.680 90.00 90.00 90.00
Fractional positions:
S 0.500 0.000 0.000
S 0.000 0.500 0.000
N 0.000 0.000 0.500
Ti 0.000 0.000 0.000
P 0.500 0.500 0.500

Computed properties:
Space-group type: P4/mmm
Crystal system: tetragonal
D(E_F) in states/eV/cell: 4.2



The most stable of them is #B.



#A
Crystalline TiPS2N at its relaxed geometry. Source: the Alexandria database, functional GGA-PBE.

Lattice parameters (Å, degrees): 4.629 4.629 3.277 90.00 90.00 90.00
Fractional positions:
S 0.000 0.500 0.000
S 0.500 0.000 0.000
N 0.000 0.000 0.500
Ti 0.500 0.500 0.500
P 0.000 0.000 0.000

Computed properties:
Space-group type: P4/mmm
Crystal system: tetragonal
D(E_F) in states/eV/cell: 4.3



#B
Crystalline TiPS2N at its relaxed geometry. Source: the Alexandria database, functional GGA-PBE.

Lattice parameters (Å, degrees): 4.158 4.158 3.921 90.00 90.00 90.00
Fractional positions:
N 0.000 0.000 0.000
S 0.500 0.000 0.000
S 0.000 0.500 0.000
Ti 0.500 0.500 0.500
P 0.000 0.000 0.500

Computed properties:
Space-group type: P4/mmm
Crystal system: tetragonal
D(E_F) in states/eV/cell: 2.6



The most stable of them is #A.



#A
Crystalline TiP2SN at its relaxed geometry. Source: the Alexandria database, functional GGA-PBE.

Lattice parameters (Å, degrees): 4.738 4.738 4.628 90.00 90.00 90.00
Each line ends with the local moment (μB).
Fractional positions:
N 0.500 0.500 0.500  1.72
Ti 0.000 0.000 0.000  0.14
P 0.500 0.000 0.000  -0.15
P 0.000 0.500 0.000  -0.15
S 0.000 0.000 0.500  -0.06

Computed properties:
Space-group type: P4/mmm
Crystal system: tetragonal
D(E_F) in states/eV/cell: 3.6



#B
Crystalline TiP2SN at its relaxed geometry. Source: the Alexandria database, functional GGA-PBE.

Lattice parameters (Å, degrees): 3.974 3.974 4.201 90.00 90.00 90.00
Fractional positions:
Ti 0.500 0.500 0.500
N 0.000 0.000 0.000
P 0.500 0.000 0.000
P 0.000 0.500 0.000
S 0.000 0.000 0.500

Computed properties:
Space-group type: P4/mmm
Crystal system: tetragonal
D(E_F) in states/eV/cell: 3.6



The most stable of them is #B.



#A
Crystalline TlP2SN at its relaxed geometry. Source: the Alexandria database, functional GGA-PBE.

Lattice parameters (Å, degrees): 4.233 4.233 4.515 90.00 90.00 90.00
Fractional positions:
Tl 0.500 0.500 0.500
P 0.000 0.500 0.000
P 0.500 0.000 0.000
N 0.000 0.000 0.000
S 0.000 0.000 0.500

Computed properties:
Space-group type: P4/mmm
Crystal system: tetragonal
D(E_F) in states/eV/cell: 3.8



#B
Crystalline TlP2SN at its relaxed geometry. Source: the Alexandria database, functional GGA-PBE.

Lattice parameters (Å, degrees): 5.271 5.271 5.273 90.00 90.00 90.00
Each line ends with the local moment (μB).
Fractional positions:
P 0.000 0.500 0.000  0.34
P 0.500 0.000 0.000  0.34
S 0.000 0.000 0.500  0.00
Tl 0.000 0.000 0.000  0.00
N 0.500 0.500 0.500  1.87

Computed properties:
Space-group type: P4/mmm
Crystal system: tetragonal
D(E_F) in states/eV/cell: 4.8



The most stable of them is #A.



#A
Crystalline TlPSN2 at its relaxed geometry. Source: the Alexandria database, functional GGA-PBE.

Lattice parameters (Å, degrees): 3.580 3.580 5.789 90.00 90.00 90.00
Each line ends with the local moment (μB).
Fractional positions:
Tl 0.500 0.500 0.500  0.00
N 0.000 0.500 0.000  0.20
N 0.500 0.000 0.000  0.20
S 0.000 0.000 0.500  0.00
P 0.000 0.000 0.000  0.00

Computed properties:
Space-group type: P4/mmm
Crystal system: tetragonal
D(E_F) in states/eV/cell: 1.2



#B
Crystalline TlPSN2 at its relaxed geometry. Source: the Alexandria database, functional GGA-PBE.

Lattice parameters (Å, degrees): 4.254 4.254 5.667 90.00 90.00 90.00
Each line ends with the local moment (μB).
Fractional positions:
N 0.000 0.500 0.000  1.01
N 0.500 0.000 0.000  1.01
Tl 0.000 0.000 0.000  -0.01
P 0.500 0.500 0.500  -0.55
S 0.000 0.000 0.500  0.11

Computed properties:
Space-group type: P4/mmm
Crystal system: tetragonal
D(E_F) in states/eV/cell: 2.7



The most stable of them is #A.



#A
Crystalline TlPS2N at its relaxed geometry. Source: the Alexandria database, functional GGA-PBE.

Lattice parameters (Å, degrees): 4.859 4.859 3.402 90.00 90.00 90.00
Fractional positions:
P 0.000 0.000 0.000
S 0.500 0.000 0.000
S 0.000 0.500 0.000
N 0.000 0.000 0.500
Tl 0.500 0.500 0.500

Computed properties:
Space-group type: P4/mmm
Crystal system: tetragonal
D(E_F) in states/eV/cell: 2.2



#B
Crystalline TlPS2N at its relaxed geometry. Source: the Alexandria database, functional GGA-PBE.

Lattice parameters (Å, degrees): 5.184 5.184 5.451 90.00 90.00 90.00
Each line ends with the local moment (μB).
Fractional positions:
S 0.000 0.500 0.000  0.15
S 0.500 0.000 0.000  0.15
N 0.500 0.500 0.500  1.86
P 0.000 0.000 0.500  -0.69
Tl 0.000 0.000 0.000  0.00

Computed properties:
Space-group type: P4/mmm
Crystal system: tetragonal
D(E_F) in states/eV/cell: 6.2



The most stable of them is #A.



#A
Crystalline TlPS2N at its relaxed geometry. Source: the Alexandria database, functional GGA-PBE.

Lattice parameters (Å, degrees): 4.966 4.966 3.581 90.00 90.00 90.00
Fractional positions:
S 0.500 0.000 0.000
S 0.000 0.500 0.000
P 0.000 0.000 0.500
N 0.000 0.000 0.000
Tl 0.500 0.500 0.500

Computed properties:
Space-group type: P4/mmm
Crystal system: tetragonal
D(E_F) in states/eV/cell: 2.6



#B
Crystalline TlPS2N at its relaxed geometry. Source: the Alexandria database, functional GGA-PBE.

Lattice parameters (Å, degrees): 5.155 5.155 4.080 90.00 90.00 90.00
Fractional positions:
S 0.500 0.000 0.000
S 0.000 0.500 0.000
P 0.500 0.500 0.500
Tl 0.000 0.000 0.000
N 0.000 0.000 0.500

Computed properties:
Space-group type: P4/mmm
Crystal system: tetragonal
D(E_F) in states/eV/cell: 7.1



The most stable of them is #A.



#A
Crystalline P2WSN at its relaxed geometry. Source: the Alexandria database, functional GGA-PBE.

Lattice parameters (Å, degrees): 3.910 3.910 4.138 90.00 90.00 90.00
Each line ends with the local moment (μB).
Fractional positions:
W 0.500 0.500 0.500  0.58
N 0.000 0.000 0.000  -0.01
P 0.000 0.500 0.000  -0.01
P 0.500 0.000 0.000  -0.01
S 0.000 0.000 0.500  -0.01

Computed properties:
Space-group type: P4/mmm
Crystal system: tetragonal
D(E_F) in states/eV/cell: 3.0



#B
Crystalline P2WSN at its relaxed geometry. Source: the Alexandria database, functional GGA-PBE.

Lattice parameters (Å, degrees): 4.746 4.746 4.620 90.00 90.00 90.00
Each line ends with the local moment (μB).
Fractional positions:
P 0.500 0.000 0.000  -0.12
P 0.000 0.500 0.000  -0.12
N 0.500 0.500 0.500  1.74
S 0.000 0.000 0.500  0.00
W 0.000 0.000 0.000  0.15

Computed properties:
Space-group type: P4/mmm
Crystal system: tetragonal
D(E_F) in states/eV/cell: 2.5



The most stable of them is #A.